(1)
# SrBr5 (PBE-GGA, relaxed)
# Total energy in hartree per atom: -0.09315
# ΔE_f (raw) in meV/atom: -860.4
data_SrBr5
_chemical_formula_sum 'Sr2 Br10'
_cell_length_a 5.788
_cell_length_b 5.075
_cell_length_c 15.666
_cell_angle_alpha 90.00
_cell_angle_beta 90.00
_cell_angle_gamma 90.00
_symmetry_space_group_name_H-M 'A m m 2'
_symmetry_Int_Tables_number 38
loop_
_symmetry_equiv_pos_as_xyz
'x,y,z'
'-x,-y,z'
'-x,y,z'
'x,-y,z'
'x,y+1/2,z+1/2'
'-x,-y+1/2,z+1/2'
'-x,y+1/2,z+1/2'
'x,-y+1/2,z+1/2'
loop_
_atom_site_label
_atom_site_type_symbol
_atom_site_fract_x
_atom_site_fract_y
_atom_site_fract_z
Sr1 Sr 0.000 0.000 0.000
Br1 Br 0.000 0.000 0.348
Br2 Br 0.000 0.000 0.603
Br3 Br 0.500 0.000 0.043
Br4 Br 0.500 0.000 0.329
Br5 Br 0.500 0.000 0.793

(2)
# InFeGe2 (PBE-GGA, relaxed)
# Total energy in hartree per atom: -0.18077
# Energy of formation from the pure elements in eV/atom: 0.19
data_InFeGe2
_chemical_formula_sum 'In3 Fe3 Ge6'
_cell_length_a 3.1763
_cell_length_b 3.1763
_cell_length_c 25.0817
_cell_angle_alpha 90.00
_cell_angle_beta 90.00
_cell_angle_gamma 120.00
_symmetry_space_group_name_H-M 'R -3 m'
_symmetry_Int_Tables_number 166
_symmetry_space_group_name_Hall '-R 3 2"'
loop_
_atom_site_label
_atom_site_type_symbol
_atom_site_fract_x
_atom_site_fract_y
_atom_site_fract_z
In1 In 0.0000 0.0000 0.0000
Fe1 Fe 0.0000 0.0000 0.5000
Ge1 Ge 0.0000 0.0000 0.2316

(3)
# Nd5YMg4 (PBE-GGA, relaxed)
# Total energy in hartree per atom: -0.13768
# Energy of formation from the pure elements in eV/atom: -0.08
data_Nd5YMg4
_chemical_formula_sum 'Nd5 Y1 Mg4'
_cell_length_a 3.842
_cell_length_b 3.842
_cell_length_c 20.584
_cell_angle_alpha 90.00
_cell_angle_beta 90.00
_cell_angle_gamma 90.00
_symmetry_space_group_name_H-M 'P 4/m m m'
_symmetry_Int_Tables_number 123
_symmetry_space_group_name_Hall '-P 4 2'
loop_
_atom_site_label
_atom_site_type_symbol
_atom_site_fract_x
_atom_site_fract_y
_atom_site_fract_z
Nd1 Nd 0.000 0.000 0.000
Nd2 Nd 0.000 0.000 0.191
Nd3 Nd 0.000 0.000 0.383
Y1 Y 0.500 0.500 0.500
Mg1 Mg 0.500 0.500 0.096
Mg2 Mg 0.500 0.500 0.287

(4)
# La6Nd12Sn (PBE-GGA, relaxed)
# Total energy in hartree per atom: -0.17533
# Energy of formation from the pure elements in eV/atom: 0.01
data_La6Nd12Sn
_chemical_formula_sum 'La18 Nd36 Sn3'
_cell_length_a 12.2738
_cell_length_b 12.2738
_cell_length_c 15.3825
_cell_angle_alpha 90.00
_cell_angle_beta 90.00
_cell_angle_gamma 120.00
_symmetry_space_group_name_H-M 'R -3'
_symmetry_Int_Tables_number 148
_symmetry_space_group_name_Hall '-R 3'
loop_
_atom_site_label
_atom_site_type_symbol
_atom_site_fract_x
_atom_site_fract_y
_atom_site_fract_z
La1 La 0.0182 0.4239 0.1863
Nd1 Nd 0.0132 0.1766 0.3150
Nd2 Nd 0.0506 0.8509 0.9170
Sn1 Sn 0.0000 0.0000 0.5000

(5)
# Ho2PN (PBE-GGA, relaxed)
# Total energy in hartree per atom: -0.26631
# ΔE_f (raw) in meV/atom: -1524.0
data_Ho2PN
_chemical_formula_sum 'Ho6 P3 N3'
_cell_length_a 3.6783
_cell_length_b 3.6783
_cell_length_c 18.5857
_cell_angle_alpha 90.00
_cell_angle_beta 90.00
_cell_angle_gamma 120.00
_symmetry_space_group_name_H-M 'R -3 m'
_symmetry_Int_Tables_number 166
_symmetry_space_group_name_Hall '-R 3 2"'
loop_
_atom_site_label
_atom_site_type_symbol
_atom_site_fract_x
_atom_site_fract_y
_atom_site_fract_z
Ho1 Ho 0.0000 0.0000 0.2394
P1 P 0.0000 0.0000 0.0000
N1 N 0.0000 0.0000 0.5000